Here is an optimized crystal structure of NbGeSb from Alexandria via LeMat-Bulk. Energies are from PBE.

Cell: 9.878 3.462 8.292 Å, 90.00 117.31 90.00°
Space group Cm (No. 8)
Symmetry-distinct sites (fractional):
Nb  0.000  0.000  0.000
Nb  0.211  0.500  0.624
Ge  0.025  0.000  0.355
Ge  0.254  0.000  0.916
Sb  0.216  0.500  0.268
Sb  0.464  0.000  0.703

formation energy without anion corrections = -0.121 eV/atom
magnetic moment = 0.00 μB per formula unit
total DFT energy (no corrections) = -6.390 eV/atom